# 1
Tl6S3Cl after structural relaxation. Source: the Alexandria database, functional PBE-GGA.

Values from the calculation:
* raw total energy: -3.250 eV/atom
* ΔE_f (raw): -0.41 eV/atom

Cell and atoms, written as POSCAR:
```
Tl6S3Cl
1.0
10.960 0.000 0.000
0.000 4.227 0.000
-4.470 0.000 13.572
Tl S Cl
12 6 2
Direct
0.067 0.250 0.423
0.081 0.750 0.892
0.263 0.750 0.266
0.265 0.250 0.731
0.402 0.750 0.575
0.420 0.750 0.084
0.580 0.250 0.916
0.598 0.250 0.425
0.735 0.750 0.269
0.737 0.250 0.734
0.919 0.250 0.108
0.933 0.750 0.577
0.004 0.750 0.278
0.333 0.250 0.428
0.354 0.750 0.872
0.646 0.250 0.128
0.667 0.750 0.572
0.996 0.250 0.722
0.194 0.250 0.074
0.806 0.750 0.926
```

---

# 2
Tl2TePb after structural relaxation. Source: the Alexandria database, functional PBE-GGA.

Values from the calculation:
* offset from the most stable computed form: 210.7 meV per atom
* raw total energy: -2.833 eV/atom
* ΔE_f (raw): 0.06 eV/atom

Cell and atoms, written as POSCAR:
```
Tl2TePb
1.0
-3.501 3.501 7.053
3.501 -3.501 7.053
3.501 3.501 -7.053
Tl Te Pb
4 2 2
Direct
0.118 0.625 0.993
0.375 0.368 0.493
0.632 0.125 0.007
0.875 0.882 0.507
0.250 0.750 0.500
0.500 0.500 0.000
0.000 0.000 0.000
0.750 0.250 0.500
```

---

# 3
MnReRh6 after structural relaxation. Source: the Alexandria database, functional PBE-GGA.

Values from the calculation:
* offset from the most stable computed form: 771.0 meV per atom
* raw total energy: -7.578 eV/atom
* energy relative to the elements: 5.10 eV per formula unit

Cell and atoms, written as POSCAR:
```
MnReRh6
1.0
3.486 2.013 3.166
-3.486 2.013 3.166
0.000 -4.025 3.166
Mn Re Rh
1 1 6
Direct
0.000 0.000 0.000
0.500 0.500 0.500
0.042 0.663 0.663
0.337 0.337 0.958
0.337 0.958 0.337
0.663 0.042 0.663
0.663 0.663 0.042
0.958 0.337 0.337
```

---

# 4
In2TcPt after structural relaxation. Source: the Alexandria database, functional PBE-GGA.

Values from the calculation:
* raw total energy: -5.564 eV/atom
* energy relative to the elements: -0.37 eV per formula unit

Cell and atoms, written as POSCAR:
```
In2TcPt
1.0
4.476 0.000 0.000
0.000 4.476 0.000
0.000 0.000 3.521
In Tc Pt
2 1 1
Direct
0.000 0.500 0.000
0.500 0.000 0.000
0.000 0.000 0.500
0.500 0.500 0.500
```

---

# 5
MgInW after structural relaxation. Source: the Alexandria database, functional PBE-GGA.

Values from the calculation:
* offset from the most stable computed form: 0.0 meV per atom
* raw total energy: -5.335 eV/atom
* energy relative to the elements: 1.28 eV per formula unit

Cell and atoms, written as POSCAR:
```
MgInW
1.0
0.000 2.262 7.113
1.783 0.000 7.113
1.783 2.262 0.000
Mg In W
1 1 1
Direct
0.000 0.000 0.000
0.318 0.318 0.682
0.655 0.655 0.345
```

---

# 6
InP2Cl after structural relaxation. Source: the Alexandria database, functional PBE-GGA.

Values from the calculation:
* offset from the most stable computed form: 6.2 meV per atom
* raw total energy: -4.095 eV/atom
* ΔE_f (raw): -0.24 eV/atom

Cell and atoms, written as POSCAR:
```
InP2Cl
1.0
1.710 0.987 10.854
-1.710 0.987 10.854
0.000 -1.975 10.854
In P Cl
1 2 1
Direct
0.000 0.000 0.000
0.489 0.489 0.489
0.785 0.785 0.785
0.275 0.275 0.275
```